Record 1
VASP calculation (PBE) on a relaxed LaIn2Te2 crystal.

Energy above the lowest structure with this stoichiometry, meV per atom: 192
E_form (uncorrected), meV per atom: -501.9

a b c (Å): 6.0058 6.0058 9.1021
angles (deg): 90.00 90.00 90.00
Space group I4/mmm (No. 139)
Asymmetric unit:
La 0.0000 0.0000 0.0000 x2
In 0.0000 0.0000 0.3460 x4
Te 0.0000 0.5000 0.2500 x4


Record 2
VASP calculation (PBE) on a relaxed LaInTe4 crystal.

Energy above the lowest structure with this stoichiometry, meV per atom: 453
E_form (uncorrected), meV per atom: -151.8

a b c (Å): 9.1116 9.1116 9.1116
angles (deg): 90.00 90.00 90.00
Space group F-43m (No. 216)
Asymmetric unit:
La 0.0000 0.0000 0.0000 x4
In 0.2500 0.2500 0.2500 x4
Te 0.1253 0.1253 0.6253 x16


Record 3
VASP calculation (PBE) on a relaxed LaInTe3 crystal.

Energy above the lowest structure with this stoichiometry, meV per atom: 505
E_form (uncorrected), meV per atom: -358.3

a b c (Å): 6.1772 6.1772 6.1772
angles (deg): 90.00 90.00 90.00
Space group Pm-3m (No. 221)
Asymmetric unit:
La 0.0000 0.0000 0.0000 x1
In 0.5000 0.5000 0.5000 x1
Te 0.0000 0.0000 0.5000 x3


Record 4
VASP calculation (PBE) on a relaxed LaInTe4 crystal.

Energy above the lowest structure with this stoichiometry, meV per atom: 0
E_form (uncorrected), meV per atom: -605.2

a b c (Å): 10.3624 8.4846 10.0346
angles (deg): 90.00 90.00 90.00
Space group Cmcm (No. 63)
Asymmetric unit:
La 0.0000 0.0776 0.2500 x4
In 0.0000 0.4702 0.7500 x4
Te 0.0000 0.2267 0.5486 x8
Te 0.2291 0.3486 0.2500 x8


Record 5
VASP calculation (PBE) on a relaxed LaIn2Te crystal.

Energy above the lowest structure with this stoichiometry, meV per atom: 440
E_form (uncorrected), meV per atom: -214.3

a b c (Å): 3.9582 3.9582 28.1218
angles (deg): 90.00 90.00 120.00
Space group R-3m (No. 166, hexagonal axes)
Asymmetric unit:
La 0.0000 0.0000 0.0000 x3
In 0.0000 0.0000 0.2396 x6
Te 0.0000 0.0000 0.5000 x3


Record 6
VASP calculation (PBE) on a relaxed LaInTe3 crystal.

Energy above the lowest structure with this stoichiometry, meV per atom: 493
E_form (uncorrected), meV per atom: -370.6

a b c (Å): 5.6258 5.6258 5.6258
angles (deg): 90.00 90.00 90.00
Space group Pm-3m (No. 221)
Asymmetric unit:
La 0.0000 0.0000 0.0000 x1
In 0.5000 0.5000 0.5000 x1
Te 0.0000 0.5000 0.5000 x3


Record 7
VASP calculation (PBE) on a relaxed LaTlInTe2 crystal.

E_form (uncorrected), meV per atom: -8.6

a b c (Å): 5.9153 5.9153 5.3604
angles (deg): 90.00 90.00 90.00
Space group P4/mmm (No. 123)
Asymmetric unit:
La 0.0000 0.0000 0.0000 x1
Tl 0.5000 0.5000 0.5000 x1
In 0.5000 0.5000 0.0000 x1
Te 0.0000 0.5000 0.5000 x2


Record 8
VASP calculation (PBE) on a relaxed La3Tl3InTe8 crystal.

E_form (uncorrected), meV per atom: -888.5

a b c (Å): 9.1996 9.1996 24.1150
angles (deg): 90.00 90.00 120.00
Space group R-3m (No. 166, hexagonal axes)
Asymmetric unit:
La 0.0000 0.5000 0.0000 x9
Tl 0.0000 0.5000 0.5000 x9
In 0.0000 0.0000 0.0000 x3
Te 0.0000 0.0000 0.2579 x6
Te 0.0179 0.5090 0.7388 x18


Record 9
VASP calculation (PBE) on a relaxed LaTl2InTe4 crystal.

E_form (uncorrected), meV per atom: -674.3

a b c (Å): 9.1637 9.4138 13.3278
angles (deg): 90.00 90.00 90.00
Space group Imma (No. 74)
Asymmetric unit:
La 0.0000 0.0000 0.0000 x4
Tl 0.0000 0.0000 0.5000 x4
Tl 0.2500 0.2500 0.2500 x4
In 0.2500 0.2500 0.7500 x4
Te 0.0000 0.0300 0.7548 x8
Te 0.2374 0.2500 0.9874 x8


Record 10
VASP calculation (PBE) on a relaxed La2TmIn3Te6 crystal.

E_form (uncorrected), meV per atom: -1021.4

a b c (Å): 7.8749 13.6252 8.5079
angles (deg): 90.00 107.95 90.00
Space group C2/m (No. 12)
Asymmetric unit:
La 0.0000 0.1662 0.0000 x4
Tm 0.0000 0.5000 0.0000 x2
In 0.0000 0.0000 0.5000 x2
In 0.0000 0.3308 0.5000 x4
Te 0.2334 0.3404 0.2217 x8
Te 0.2435 0.5000 0.7739 x4


Record 11
VASP calculation (PBE) on a relaxed La2UIn3Te6 crystal.

E_form (uncorrected), meV per atom: -847.4

a b c (Å): 7.8896 13.6600 8.5628
angles (deg): 90.00 107.86 90.00
Space group C2/m (No. 12)
Asymmetric unit:
La 0.0000 0.1665 0.0000 x4
U 0.0000 0.5000 0.0000 x2
In 0.0000 0.0000 0.5000 x2
In 0.0000 0.3324 0.5000 x4
Te 0.2373 0.3376 0.2252 x8
Te 0.2485 0.5000 0.7724 x4


Record 12
VASP calculation (PBE) on a relaxed LaY2In3Te6 crystal.

E_form (uncorrected), meV per atom: -1010.7

a b c (Å): 7.7750 13.4542 8.5035
angles (deg): 90.00 107.74 90.00
Space group C2/m (No. 12)
Asymmetric unit:
La 0.0000 0.0000 0.0000 x2
Y 0.0000 0.3330 0.0000 x4
In 0.0000 0.1641 0.5000 x4
In 0.0000 0.5000 0.5000 x2
Te 0.2288 0.5000 0.2199 x4
Te 0.2466 0.1722 0.2231 x8


Record 13
VASP calculation (PBE) on a relaxed La2ThIn crystal.

Energy above the lowest structure with this stoichiometry, meV per atom: 136

a b c (Å): 3.6419 3.6419 34.2885
angles (deg): 90.00 90.00 120.00
Space group R3m (No. 160, hexagonal axes)
Asymmetric unit:
La 0.0000 0.0000 0.0000 x3
La 0.0000 0.0000 0.1728 x3
Th 0.0000 0.0000 0.7533 x3
In 0.0000 0.0000 0.5865 x3


Record 14
VASP calculation (PBE) on a relaxed LaThIn6 crystal.

a b c (Å): 6.7451 6.7451 4.7378
angles (deg): 90.00 90.00 90.00
Space group P4/mmm (No. 123)
Asymmetric unit:
La 0.0000 0.0000 0.0000 x1
Th 0.5000 0.5000 0.0000 x1
In 0.0000 0.5000 0.0000 x2
In 0.2502 0.2502 0.5000 x4


Record 15
VASP calculation (PBE) on a relaxed La9ThIn2 crystal.

a b c (Å): 5.1032 5.1032 15.3301
angles (deg): 90.00 90.00 90.00
Space group P4/mmm (No. 123)
Asymmetric unit:
La 0.0000 0.0000 0.0000 x1
La 0.0000 0.0000 0.3388 x2
La 0.0000 0.5000 0.1670 x4
La 0.0000 0.5000 0.5000 x2
Th 0.5000 0.5000 0.0000 x1
In 0.5000 0.5000 0.3355 x2


Record 16
VASP calculation (PBE) on a relaxed LaThIn2 crystal.

a b c (Å): 3.5606 3.5606 9.2576
angles (deg): 90.00 90.00 90.00
Space group P4/mmm (No. 123)
Asymmetric unit:
La 0.0000 0.0000 0.0000 x1
Th 0.0000 0.0000 0.5000 x1
In 0.5000 0.5000 0.2529 x2


Record 17
VASP calculation (PBE) on a relaxed La2ThIn crystal.

Energy above the lowest structure with this stoichiometry, meV per atom: 162

a b c (Å): 4.8133 4.6215 12.0450
angles (deg): 90.00 101.36 90.00
Space group P2_1/m (No. 11)
Asymmetric unit:
La 0.0560 0.2500 0.1120 x2
La 0.4277 0.2500 0.8548 x2
Th 0.3036 0.7500 0.6033 x2
In 0.1647 0.7500 0.3336 x2


Record 18
VASP calculation (PBE) on a relaxed La5ThIn4 crystal.

a b c (Å): 3.6793 3.6793 22.9977
angles (deg): 90.00 90.00 90.00
Space group P4/mmm (No. 123)
Asymmetric unit:
La 0.0000 0.0000 0.0000 x1
La 0.0000 0.0000 0.1962 x2
La 0.0000 0.0000 0.3924 x2
Th 0.5000 0.5000 0.5000 x1
In 0.5000 0.5000 0.0981 x2
In 0.5000 0.5000 0.2941 x2


Record 19
VASP calculation (PBE) on a relaxed La15ThIn4 crystal.

a b c (Å): 5.0820 5.0820 25.4983
angles (deg): 90.00 90.00 90.00
Space group P4/mmm (No. 123)
Asymmetric unit:
La 0.0000 0.0000 0.0000 x1
La 0.0000 0.0000 0.2044 x2
La 0.0000 0.0000 0.3991 x2
La 0.0000 0.5000 0.1001 x4
La 0.0000 0.5000 0.3012 x4
La 0.0000 0.5000 0.5000 x2
Th 0.5000 0.5000 0.0000 x1
In 0.5000 0.5000 0.2024 x2
In 0.5000 0.5000 0.4010 x2


Record 20
VASP calculation (PBE) on a relaxed La3ThIn4 crystal.

a b c (Å): 3.5920 3.5920 18.5020
angles (deg): 90.00 90.00 90.00
Space group P4/mmm (No. 123)
Asymmetric unit:
La 0.0000 0.0000 0.0000 x1
La 0.0000 0.0000 0.2523 x2
Th 0.0000 0.0000 0.5000 x1
In 0.5000 0.5000 0.1261 x2
In 0.5000 0.5000 0.3777 x2


Record 21
VASP calculation (PBE) on a relaxed La4ThIn3 crystal.

a b c (Å): 3.6986 3.6986 18.3557
angles (deg): 90.00 90.00 90.00
Space group P4/mmm (No. 123)
Asymmetric unit:
La 0.0000 0.0000 0.1223 x2
La 0.0000 0.0000 0.3658 x2
Th 0.5000 0.5000 0.5000 x1
In 0.5000 0.5000 0.0000 x1
In 0.5000 0.5000 0.2439 x2


Record 22
VASP calculation (PBE) on a relaxed LaTh3In4 crystal.

a b c (Å): 3.3126 5.9550 11.9130
angles (deg): 90.00 90.00 90.00
Space group Pmmm (No. 47)
Asymmetric unit:
La 0.0000 0.0000 0.0000 x1
Th 0.0000 0.0000 0.5000 x1
Th 0.0000 0.5000 0.2501 x2
In 0.5000 0.0000 0.2517 x2
In 0.5000 0.5000 0.0000 x1
In 0.5000 0.5000 0.5000 x1


Record 23
VASP calculation (PBE) on a relaxed LaTh2In9 crystal.

a b c (Å): 4.7525 4.7525 14.2515
angles (deg): 90.00 90.00 90.00
Space group P4/mmm (No. 123)
Asymmetric unit:
La 0.0000 0.0000 0.0000 x1
Th 0.0000 0.0000 0.3348 x2
In 0.0000 0.5000 0.1678 x4
In 0.0000 0.5000 0.5000 x2
In 0.5000 0.5000 0.0000 x1
In 0.5000 0.5000 0.3336 x2


Final energy readings, ordered: -38.39 -84.57 -18.88 -95.46 -43.21 -18.94 -16.36 -189.24 -121.44 -107.30 -116.75 -114.10 -61.18 -32.11 -59.49 -19.39 -40.58 -47.07 -96.94 -36.75 -38.31 -40.51 -49.21 eV for the cell shown